Record 1
! TlReC3, relaxed, DFT PBEsol; values from VASP
&SYSTEM
  ibrav = 0, nat = 5, ntyp = 3
/
ATOMIC_SPECIES
C 12.01 C.upf
Tl 204.38 Tl.upf
Re 186.21 Re.upf
ATOMIC_POSITIONS crystal
C 0.500 0.000 0.000
C 0.000 0.000 0.500
C 0.000 0.500 0.000
Tl 0.500 0.500 0.500
Re 0.000 0.000 0.000
CELL_PARAMETERS angstrom
-0.651 3.839 -1.247
-2.877 -1.328 -2.585
-2.832 0.466 2.912
! Calculated density = 10.36 g/cm3
! Calculated total energy = -7.279 eV/atom

---

Record 2
! Pr2Ga9Ru3, relaxed, DFT PBEsol; values from VASP
&SYSTEM
  ibrav = 0, nat = 28, ntyp = 3
/
ATOMIC_SPECIES
Ru 101.07 Ru.upf
Ga 69.72 Ga.upf
Pr 140.91 Pr.upf
ATOMIC_POSITIONS crystal
Ru 0.325 0.675 0.500
Ga 0.339 0.012 0.926
Ga 0.863 0.863 0.250
Ru 0.325 0.675 0.000
Ga 0.552 0.340 0.750
Ga 0.339 0.012 0.574
Ga 0.661 0.988 0.426
Pr 0.675 0.998 0.750
Ga 0.137 0.137 0.750
Ga 0.339 0.339 0.056
Ru 0.675 0.325 0.000
Pr 0.998 0.675 0.750
Ru 0.675 0.325 0.500
Ru 0.000 0.000 0.500
Ga 0.661 0.661 0.556
Ga 0.661 0.661 0.944
Ga 0.448 0.660 0.250
Ga 0.340 0.552 0.750
Ru 0.000 0.000 0.000
Ga 0.988 0.661 0.074
Ga 0.660 0.448 0.250
Ga 0.339 0.339 0.444
Pr 0.002 0.325 0.250
Ga 0.988 0.661 0.426
Pr 0.325 0.002 0.250
Ga 0.012 0.339 0.926
Ga 0.012 0.339 0.574
Ga 0.661 0.988 0.074
CELL_PARAMETERS angstrom
-2.097 -7.027 1.223
0.538 2.396 -7.018
9.307 -2.820 -0.249
! Calculated density = 8.54 g/cm3
! Calculated total energy = -5.625 eV/atom

---

Record 3
! Mg2TlRu, relaxed, DFT PBEsol; values from VASP
&SYSTEM
  ibrav = 0, nat = 4, ntyp = 3
/
ATOMIC_SPECIES
Mg 24.30 Mg.upf
Tl 204.38 Tl.upf
Ru 101.07 Ru.upf
ATOMIC_POSITIONS crystal
Mg 0.000 0.000 0.786
Mg 0.000 0.000 0.214
Tl 0.500 0.500 0.500
Ru 0.500 0.500 0.000
CELL_PARAMETERS angstrom
3.422 0.000 0.000
0.000 3.422 0.000
0.000 0.000 6.116
! Calculated density = 8.21 g/cm3
! Polymorph energy (0 for the lowest one) = 5 meV/atom
! Calculated total energy = -3.983 eV/atom

---

Record 4
! ScCr4W, relaxed, DFT PBEsol; values from VASP
&SYSTEM
  ibrav = 0, nat = 6, ntyp = 3
/
ATOMIC_SPECIES
Cr 52.00 Cr.upf
W 183.84 W.upf
Sc 44.96 Sc.upf
ATOMIC_POSITIONS crystal
Cr 0.375 0.375 0.375
Cr 0.375 0.876 0.375
Cr 0.375 0.375 0.876
Cr 0.876 0.375 0.375
W 0.000 0.000 0.000
Sc 0.750 0.750 0.750
CELL_PARAMETERS angstrom
4.834 0.000 0.000
2.417 4.186 0.000
2.417 1.395 3.947
! Calculated density = 9.08 g/cm3
! Calculated total energy = -10.199 eV/atom

---

Record 5
! Be2InP, relaxed, DFT PBEsol; values from VASP
&SYSTEM
  ibrav = 0, nat = 4, ntyp = 3
/
ATOMIC_SPECIES
In 114.82 In.upf
Be 9.01 Be.upf
P 30.97 P.upf
ATOMIC_POSITIONS crystal
In 0.000 0.000 0.554
Be 0.000 0.000 0.984
P 0.500 0.500 0.136
Be 0.500 0.500 0.827
CELL_PARAMETERS angstrom
2.899 0.217 0.000
-0.349 2.886 0.000
0.000 0.000 7.107
! Calculated density = 4.53 g/cm3
! Polymorph energy (0 for the lowest one) = 181 meV/atom
! Calculated total energy = -3.836 eV/atom

---

Record 6
! B9H8S, relaxed, DFT PBEsol; values from VASP
&SYSTEM
  ibrav = 0, nat = 72, ntyp = 3
/
ATOMIC_SPECIES
H 1.01 H.upf
B 10.81 B.upf
S 32.06 S.upf
ATOMIC_POSITIONS crystal
H 0.966 0.123 0.533
H 0.755 0.207 0.990
H 0.245 0.793 0.010
B 0.538 0.074 0.473
H 0.261 0.090 0.303
S 0.615 0.212 0.585
H 0.406 0.815 0.843
B 0.962 0.574 0.027
B 0.194 0.841 0.517
B 0.214 0.745 0.644
H 0.761 0.410 0.803
H 0.558 0.802 0.171
H 0.739 0.910 0.697
B 0.018 0.181 0.840
B 0.579 0.858 0.657
B 0.786 0.255 0.356
B 0.286 0.245 0.856
H 0.058 0.921 0.203
H 0.745 0.707 0.510
B 0.401 0.808 0.743
B 0.599 0.192 0.257
B 0.820 0.836 0.031
B 0.913 0.247 0.959
B 0.311 0.922 0.641
H 0.594 0.185 0.157
H 0.442 0.198 0.829
H 0.034 0.877 0.467
H 0.255 0.293 0.490
H 0.761 0.944 0.991
B 0.189 0.422 0.859
H 0.466 0.377 0.033
H 0.058 0.698 0.671
H 0.558 0.579 0.703
B 0.689 0.078 0.359
B 0.087 0.753 0.041
B 0.921 0.358 0.843
B 0.421 0.142 0.343
B 0.982 0.819 0.160
B 0.482 0.681 0.660
B 0.680 0.336 0.469
B 0.811 0.578 0.141
B 0.038 0.426 0.973
S 0.885 0.712 0.915
B 0.901 0.692 0.243
H 0.261 0.556 0.491
H 0.739 0.444 0.509
B 0.587 0.747 0.541
B 0.079 0.642 0.157
B 0.462 0.926 0.527
B 0.180 0.164 0.969
B 0.518 0.319 0.340
H 0.094 0.315 0.657
B 0.099 0.308 0.757
H 0.942 0.302 0.329
H 0.534 0.623 0.967
H 0.239 0.056 0.009
B 0.694 0.659 0.017
H 0.906 0.685 0.343
H 0.442 0.421 0.297
B 0.320 0.664 0.531
S 0.385 0.788 0.415
H 0.239 0.029 0.668
H 0.261 0.529 0.832
B 0.714 0.755 0.144
H 0.739 0.471 0.168
B 0.413 0.253 0.459
H 0.761 0.971 0.332
H 0.239 0.590 0.197
H 0.942 0.079 0.797
B 0.806 0.159 0.483
B 0.306 0.341 0.983
S 0.115 0.288 0.085
CELL_PARAMETERS angstrom
6.507 0.000 -0.069
0.000 9.752 0.000
-1.297 0.000 11.878
! Calculated density = 1.21 g/cm3
! Calculated total energy = -5.284 eV/atom

---

Record 7
! La2TaAlCd, relaxed, DFT PBEsol; values from VASP
&SYSTEM
  ibrav = 0, nat = 5, ntyp = 4
/
ATOMIC_SPECIES
Cd 112.41 Cd.upf
Al 26.98 Al.upf
La 138.91 La.upf
Ta 180.95 Ta.upf
ATOMIC_POSITIONS crystal
Cd 0.500 0.000 0.000
Al 0.000 0.000 0.000
La 0.000 0.000 0.500
Ta 0.500 0.500 0.500
La 0.000 0.500 0.000
CELL_PARAMETERS angstrom
4.740 0.000 0.000
0.000 5.650 0.000
0.000 0.000 5.650
! Calculated density = 6.56 g/cm3
! Calculated total energy = -4.706 eV/atom

---

Record 8
! Li2CoSiO4, relaxed, DFT PBEsol; values from VASP
&SYSTEM
  ibrav = 0, nat = 8, ntyp = 4
/
ATOMIC_SPECIES
O 16.00 O.upf
Co 58.93 Co.upf
Li 6.94 Li.upf
Si 28.09 Si.upf
ATOMIC_POSITIONS crystal
O 0.832 0.832 0.224
Co 0.000 0.000 0.000
O 0.393 0.393 0.224
O 0.607 0.168 0.776
O 0.168 0.607 0.776
Li 0.250 0.750 0.500
Li 0.750 0.250 0.500
Si 0.500 0.500 0.000
CELL_PARAMETERS angstrom
-3.687 -1.462 -1.627
1.205 -4.019 0.879
-0.614 3.044 4.303
! Formation energy from raw total energies = -2.0305 eV per atom
! Calculated density = 3.42 g/cm3
! Polymorph energy (0 for the lowest one) = 23 meV/atom
! Calculated total energy = -6.832 eV/atom

---

Record 9
! AgPt2Br, relaxed, DFT PBEsol; values from VASP
&SYSTEM
  ibrav = 0, nat = 4, ntyp = 3
/
ATOMIC_SPECIES
Ag 107.87 Ag.upf
Br 79.90 Br.upf
Pt 195.08 Pt.upf
ATOMIC_POSITIONS crystal
Ag 0.412 0.000 0.465
Br 0.076 0.500 0.760
Pt 0.214 0.000 0.049
Pt 0.797 0.500 0.225
CELL_PARAMETERS angstrom
3.194 0.000 -0.004
0.000 3.377 0.000
-1.500 0.000 6.824
! Formation energy from raw total energies = 0.2376 eV per atom
! Calculated density = 13.04 g/cm3
! Calculated total energy = -4.539 eV/atom

---

Record 10
! AlHg2As, relaxed, DFT PBEsol; values from VASP
&SYSTEM
  ibrav = 0, nat = 4, ntyp = 3
/
ATOMIC_SPECIES
As 74.92 As.upf
Hg 200.59 Hg.upf
Al 26.98 Al.upf
ATOMIC_POSITIONS crystal
As 0.500 0.500 0.500
Hg 0.000 0.000 0.246
Al 0.500 0.500 0.000
Hg 0.000 0.000 0.754
CELL_PARAMETERS angstrom
-1.598 2.189 1.002
-2.363 0.154 -4.106
-3.983 -3.891 2.147
! Calculated density = 10.22 g/cm3
! Polymorph energy (0 for the lowest one) = 56 meV/atom
! Calculated total energy = -2.361 eV/atom

---

Record 11
! Y2CuSe, relaxed, DFT PBEsol; values from VASP
&SYSTEM
  ibrav = 0, nat = 4, ntyp = 3
/
ATOMIC_SPECIES
Y 88.91 Y.upf
Se 78.96 Se.upf
Cu 63.55 Cu.upf
ATOMIC_POSITIONS crystal
Y 0.750 0.750 0.750
Y 0.000 0.000 0.000
Se 0.250 0.250 0.250
Cu 0.500 0.500 0.500
CELL_PARAMETERS angstrom
4.918 0.000 0.000
2.459 4.259 0.000
2.459 1.420 4.016
! Formation energy from raw total energies = 0.0261 eV per atom
! Calculated density = 6.32 g/cm3
! Polymorph energy (0 for the lowest one) = 989 meV/atom
! Calculated total energy = -5.431 eV/atom

---

Record 12
! Al3MoBr, relaxed, DFT PBEsol; values from VASP
&SYSTEM
  ibrav = 0, nat = 5, ntyp = 3
/
ATOMIC_SPECIES
Al 26.98 Al.upf
Mo 95.94 Mo.upf
Br 79.90 Br.upf
ATOMIC_POSITIONS crystal
Al 0.000 0.000 0.500
Al 0.500 0.000 0.000
Al 0.000 0.500 0.000
Mo 0.000 0.000 0.000
Br 0.500 0.500 0.500
CELL_PARAMETERS angstrom
4.957 0.000 0.000
0.000 4.957 0.000
0.000 0.000 4.957
! Formation energy from raw total energies = 0.7101 eV per atom
! Calculated density = 3.50 g/cm3
! Calculated total energy = -4.472 eV/atom